# LiCr2Cl

An optimized crystal structure of LiCr2Cl (PBE-GGA, Alexandria).

Cell: 3.3921 3.3921 6.3953 Å, 90.00 90.00 90.00°
Positions (direct):
Li (0.0000, 0.0000, 0.0000)
Cr (0.5000, 0.5000, 0.2377)
Cr (0.5000, 0.5000, 0.7623)
Cl (0.0000, 0.0000, 0.5000)

Summary:
space-group type: P4/mmm, No. 123
energy relative to the lowest polymorph listed for this composition: 0.7022 eV/atom
M_tot: 9.5 μB/f.u.

# Li2CrCl5

An optimized crystal structure of Li2CrCl5 (PBE-GGA, Alexandria).

Cell: 6.7366 6.7366 12.0531 Å, 90.00 90.00 138.49°
Positions (direct):
Li (0.1379, 0.8621, 0.5702)
Li (0.1379, 0.8621, 0.9298)
Li (0.8621, 0.1379, 0.0702)
Li (0.8621, 0.1379, 0.4298)
Cr (0.1933, 0.8067, 0.2500)
Cr (0.8067, 0.1933, 0.7500)
Cl (0.0627, 0.9373, 0.1162)
Cl (0.0627, 0.9373, 0.3838)
Cl (0.2752, 0.7248, 0.7500)
Cl (0.3224, 0.6776, 0.1045)
Cl (0.3224, 0.6776, 0.3955)
Cl (0.6776, 0.3224, 0.6045)
Cl (0.6776, 0.3224, 0.8955)
Cl (0.7248, 0.2752, 0.2500)
Cl (0.9373, 0.0627, 0.6162)
Cl (0.9373, 0.0627, 0.8838)

Summary:
space-group type: Cmcm, No. 63
M_tot: 3.0 μB/f.u.
E_tot: -4.227 eV/atom

# Li2CrCl6

An optimized crystal structure of Li2CrCl6 (PBE-GGA, Alexandria).

Cell: 6.1784 6.6852 11.3798 Å, 90.00 119.21 90.00°
Positions (direct):
Li (0.1340, 0.1315, 0.1532)
Li (0.1340, 0.3685, 0.6532)
Li (0.8660, 0.6315, 0.3468)
Li (0.8660, 0.8685, 0.8468)
Cr (0.5000, 0.0000, 0.0000)
Cr (0.5000, 0.5000, 0.5000)
Cl (0.1535, 0.0576, 0.7889)
Cl (0.1535, 0.4424, 0.2889)
Cl (0.2508, 0.6773, 0.5644)
Cl (0.2508, 0.8227, 0.0644)
Cl (0.4190, 0.2149, 0.5787)
Cl (0.4190, 0.2851, 0.0787)
Cl (0.5810, 0.7149, 0.9213)
Cl (0.5810, 0.7851, 0.4213)
Cl (0.7492, 0.1773, 0.9356)
Cl (0.7492, 0.3227, 0.4356)
Cl (0.8465, 0.5576, 0.7111)
Cl (0.8465, 0.9424, 0.2111)

Summary:
space-group type: P2_1/c, No. 14
energy relative to the lowest polymorph listed for this composition: 0.0000 eV/atom
M_tot: 2.0 μB/f.u.

# LiCr2Cl

An optimized crystal structure of LiCr2Cl (PBE-GGA, Alexandria).

Cell: 3.1896 3.1896 8.7037 Å, 90.00 90.00 118.43°
Positions (direct):
Li (0.0000, 0.0000, 0.0000)
Cr (0.5000, 0.5000, 0.2673)
Cr (0.5000, 0.5000, 0.7327)
Cl (0.0000, 0.0000, 0.5000)

Summary:
space-group type: Cmmm, No. 65
energy relative to the lowest polymorph listed for this composition: 0.6730 eV/atom
M_tot: 9.1 μB/f.u.

# Li2Cr2Cl7

An optimized crystal structure of Li2Cr2Cl7 (PBE-GGA, Alexandria).

Cell: 6.3218 6.3218 10.0354 Å, 96.77 96.77 120.89°
Positions (direct):
Li (0.1905, 0.1905, 0.2137)
Li (0.8095, 0.8095, 0.7863)
Cr (0.3332, 0.6668, 0.5000)
Cr (0.6668, 0.3332, 0.5000)
Cl (0.0000, 0.0000, 0.0000)
Cl (0.0400, 0.6835, 0.6394)
Cl (0.3165, 0.9600, 0.3606)
Cl (0.4231, 0.4231, 0.6461)
Cl (0.5769, 0.5769, 0.3539)
Cl (0.6835, 0.0400, 0.6394)
Cl (0.9600, 0.3165, 0.3606)

Summary:
space-group type: C2/m, No. 12
M_tot: 7.0 μB/f.u.
E_tot: -4.520 eV/atom

# LiCr2Cl

An optimized crystal structure of LiCr2Cl (PBE-GGA, Alexandria).

Cell: 2.9557 5.8178 3.7413 Å, 90.00 91.20 90.00°
Positions (direct):
Li (0.0000, 0.0000, 0.0000)
Cr (0.2637, 0.5000, 0.1901)
Cr (0.7363, 0.5000, 0.8099)
Cl (0.5000, 0.0000, 0.5000)

Summary:
space-group type: P2/m, No. 10
energy relative to the lowest polymorph listed for this composition: 0.4804 eV/atom
M_tot: 0.0 μB/f.u.

# LiCr2Cl

An optimized crystal structure of LiCr2Cl (PBE-GGA, Alexandria).

Cell: 4.9628 4.9628 3.0846 Å, 90.00 90.00 108.67°
Positions (direct):
Li (0.0000, 0.0000, 0.0000)
Cr (0.0000, 0.5000, 0.5000)
Cr (0.5000, 0.0000, 0.5000)
Cl (0.5000, 0.5000, 0.0000)

Summary:
space-group type: Cmmm, No. 65
energy relative to the lowest polymorph listed for this composition: 0.8046 eV/atom
M_tot: 8.5 μB/f.u.

# LiCr3Cl

An optimized crystal structure of LiCr3Cl (PBE-GGA, Alexandria).

Cell: 4.1417 4.1417 4.1417 Å, 90.00 90.00 90.00°
Positions (direct):
Li (0.0000, 0.0000, 0.0000)
Cr (0.0000, 0.5000, 0.5000)
Cr (0.5000, 0.0000, 0.5000)
Cr (0.5000, 0.5000, 0.0000)
Cl (0.5000, 0.5000, 0.5000)

Summary:
space-group type: Pm-3m, No. 221
energy relative to the lowest polymorph listed for this composition: 0.0000 eV/atom
M_tot: 0.0 μB/f.u.